[1]
Entry from Alexandria via LeMat-Bulk: a relaxed structure of KRb2PtF6 (PBE).

```
KRb2PtF6
1.0
6.259 0.000 0.000
0.000 6.259 0.000
-3.127 -3.127 4.905
K Rb Pt F
1 2 1 6
Direct
0.000 0.000 0.000
0.250 0.750 0.500
0.750 0.250 0.500
0.500 0.500 0.000
0.213 0.354 0.000
0.263 0.264 0.526
0.355 0.787 0.001
0.645 0.213 0.999
0.737 0.736 0.474
0.787 0.646 0.000
```

Results
magnetization = 1.00 μB/f.u.
theoretical density = 4.49 g/cm3
uncorrected formation energy = -2206 meV per atom
crystal system = triclinic
E = -4.2366 eV/atom



[2]
Entry from Alexandria via LeMat-Bulk: a relaxed structure of KRbPtF6 (PBE).

```
KRbPtF6
1.0
6.338 0.000 0.000
-3.169 5.489 0.000
0.000 0.000 5.385
K Rb Pt F
1 1 1 6
Direct
0.000 0.000 0.000
0.333 0.667 0.500
0.667 0.333 0.000
0.409 0.075 0.793
0.409 0.334 0.207
0.666 0.075 0.207
0.666 0.591 0.793
0.925 0.334 0.793
0.925 0.591 0.207
```

Results
magnetization = 0.01 μB/f.u.
theoretical density = 3.84 g/cm3
uncorrected formation energy = -2137 meV per atom
crystal system = trigonal
E = -4.2856 eV/atom



[3]
Entry from Alexandria via LeMat-Bulk: a relaxed structure of KRb2PtF6 (PBE).

```
KRb2PtF6
1.0
3.268 1.887 11.194
-3.268 1.887 11.194
0.000 -3.773 11.194
K Rb Pt F
2 4 2 12
Direct
0.094 0.094 0.094
0.906 0.906 0.906
0.235 0.235 0.235
0.357 0.357 0.357
0.643 0.643 0.643
0.765 0.765 0.765
0.000 0.000 0.000
0.500 0.500 0.500
0.123 0.123 0.637
0.123 0.637 0.123
0.252 0.676 0.676
0.324 0.324 0.748
0.324 0.748 0.324
0.363 0.877 0.877
0.637 0.123 0.123
0.676 0.252 0.676
0.676 0.676 0.252
0.748 0.324 0.324
0.877 0.363 0.877
0.877 0.877 0.363
```

Results
magnetization = 1.06 μB/f.u.
theoretical density = 4.16 g/cm3
uncorrected formation energy = -2149 meV per atom
crystal system = trigonal
E = -4.1794 eV/atom